The following is a DFT calculation (meta-GGA SCAN) of a crystal of ReAg2Ru relaxed with PBEsol.

```
ReAg2Ru
1.0
2.6993 0.0027 0.0000
-1.2251 2.4053 0.0000
0.0000 0.0000 9.4991
Ag Ru Re
2 1 1
Cartesian
0.0000 0.0000 0.0455
0.7371 1.2040 7.1002
0.7371 1.2040 2.5011
0.0000 0.0000 4.6019
```

## Properties
SG = Cmm2
ΔE_f = 1.55 eV/f.u.

The following is a DFT calculation (meta-GGA SCAN) of a crystal of BeCoAg2 relaxed with PBEsol.

```
BeCoAg2
1.0
3.6362 0.0000 0.0000
0.0000 3.7990 0.0000
0.0000 0.0000 3.7990
Ag Co Be
2 1 1
Cartesian
0.0000 1.8995 0.0000
0.0000 0.0000 1.8995
1.8181 0.0000 0.0000
1.8181 1.8995 1.8995
```

## Properties
SG = P4/mmm
ΔE_f = 1.07 eV/f.u.

The following is a DFT calculation (meta-GGA SCAN) of a crystal of Na3ZnPb relaxed with PBEsol.

```
Na3ZnPb
1.0
-5.5008 1.8104 -1.2192
-0.1753 -3.6616 -4.6459
-2.1756 -4.2823 3.4571
Na Zn Pb
3 1 1
Cartesian
-2.7504 0.9052 -0.6096
-1.0878 -2.1411 1.7285
-0.0877 -1.8308 -2.3230
-3.9258 -3.0668 -1.2040
0.0000 0.0000 0.0000
```

## Properties
SG = Pm-3m
ΔE_f = 1.20 eV/f.u.

The following is a DFT calculation (meta-GGA SCAN) of a crystal of BaCa2Cl relaxed with PBEsol.

```
BaCa2Cl
1.0
4.1559 0.0000 0.0000
0.0000 5.3893 0.0000
0.0000 0.0000 7.2087
Ba Ca Cl
1 2 1
Cartesian
0.0000 2.6947 3.6043
2.0780 2.6947 0.0000
0.0000 0.0000 0.0000
2.0780 0.0000 3.6043
```

## Properties
SG = Pmmm
Formation energy without anion corrections = -2.341 eV/f.u.

The following is a DFT calculation (meta-GGA SCAN) of a crystal of Tl2Au2Br relaxed with PBEsol.

```
Tl2Au2Br
1.0
-0.1102 3.2773 1.9896
1.9350 -1.6708 2.8593
6.6455 1.6764 -6.0904
Au Tl Br
2 2 1
Cartesian
4.7465 0.4044 -0.4033
3.7239 2.8785 -0.8382
2.5525 1.3413 1.6290
5.9179 1.9416 -2.8704
0.0000 0.0000 0.0000
```

## Properties
SG = I4/mmm
Formation energy without anion corrections = -1.589 eV/f.u.

The following is a DFT calculation (meta-GGA SCAN) of a crystal of BaMgIn2 relaxed with PBEsol.

```
BaMgIn2
1.0
3.7847 0.0000 0.0000
0.0000 3.7847 0.0000
0.0000 0.0000 7.9764
Mg In Ba
1 2 1
Cartesian
1.8923 1.8923 0.0000
0.0000 0.0000 6.4133
0.0000 0.0000 1.5630
1.8923 1.8923 3.9882
```

## Properties
SG = P4/mmm
ΔE_f = -1.66 eV/f.u.

The following is a DFT calculation (meta-GGA SCAN) of a crystal of LaTi2Ni2 relaxed with PBEsol.

```
LaTi2Ni2
1.0
-1.9610 3.7472 -0.1621
-0.3812 -0.0171 4.2152
5.5086 0.4222 -1.6250
Ti Ni La
2 2 1
Cartesian
1.9781 1.1351 2.3084
1.1882 3.0173 0.1197
-0.0899 2.4352 2.1267
3.2562 1.7171 0.3014
0.0000 0.0000 0.0000
```

## Properties
SG = I4/mmm
ΔE_f = -1.35 eV/f.u.

The following is a DFT calculation (meta-GGA SCAN) of a crystal of NaLi3V4O12 relaxed with PBEsol.

```
NaLi3V4O12
1.0
-4.5103 2.1281 2.9775
1.6614 -0.6424 6.4871
1.5375 6.4298 1.2449
V O Na Li
4 12 1 3
Cartesian
2.2417 4.7854 5.0311
-1.3047 2.0550 4.1967
0.0166 4.5275 7.5010
-3.5761 4.4423 4.7058
1.0185 5.2390 8.6282
0.2444 2.4133 3.3812
-0.1146 1.5329 0.7122
-3.2454 5.9565 4.1518
0.6753 4.4770 5.8310
-2.3034 1.1607 3.2049
1.8676 5.7478 3.7493
-1.9900 3.6230 4.7418
-1.5537 5.3766 7.4215
-1.2196 7.6822 9.0341
-0.3734 3.0090 7.9844
-0.8724 1.1603 5.5021
1.6261 1.3700 4.9955
-0.6040 1.0059 7.5429
1.5486 5.7963 1.7145
-0.6857 5.6665 4.0881
```

## Properties
SG = C2
Formation energy without anion corrections = -50.591 eV/f.u.

The following is a DFT calculation (meta-GGA SCAN) of a crystal of ScTl2In relaxed with PBEsol.

```
ScTl2In
1.0
-3.2285 -0.7404 -2.9194
-1.8592 -2.8771 2.7857
-0.0430 5.3746 2.0232
Sc In Tl
1 1 2
Cartesian
0.0000 0.0000 0.0000
-2.5439 -1.8087 -0.0668
-2.9077 1.4127 -0.4815
-2.2230 0.3444 2.3710
```

## Properties
SG = I4/mmm
ΔE_f = -0.75 eV/f.u.

The following is a DFT calculation (meta-GGA SCAN) of a crystal of GaP2SBr relaxed with PBEsol.

```
GaP2SBr
1.0
-1.7885 2.4692 -3.6422
-3.1607 -3.4563 -0.7911
-3.0661 2.1290 2.9490
Br P Ga S
1 2 1 1
Cartesian
-1.5331 1.0645 1.4745
-1.5804 -1.7281 -0.3955
-0.8943 1.2346 -1.8211
0.0000 0.0000 0.0000
-4.0077 0.5710 -0.7422
```

## Properties
SG = P4/mmm
Formation energy without anion corrections = 5.116 eV/f.u.

The following is a DFT calculation (meta-GGA SCAN) of a crystal of MnFe2W relaxed with PBEsol.

```
MnFe2W
1.0
3.0158 0.0000 0.0000
0.0000 3.9995 0.0000
-1.5079 -1.9997 3.9984
Fe W Mn
2 1 1
Cartesian
1.5079 1.9997 3.9721
0.0000 1.9997 2.0124
1.5079 0.0000 1.9930
1.5079 1.9997 0.0192
```

## Properties
SG = Imm2
ΔE_f = 0.20 eV/f.u.

The following is a DFT calculation (meta-GGA SCAN) of a crystal of La2YTl relaxed with PBEsol.

```
La2YTl
1.0
3.6740 0.0000 0.0000
0.0000 3.6740 0.0000
0.0000 0.0000 8.9619
Y La Tl
1 2 1
Cartesian
1.8370 1.8370 6.4941
1.8370 1.8370 2.4209
0.0000 0.0000 8.8836
0.0000 0.0000 4.6060
```

## Properties
SG = P4mm
ΔE_f = -1.18 eV/f.u.

The following is a DFT calculation (meta-GGA SCAN) of a crystal of IrRu relaxed with PBEsol.

```
IrRu
1.0
2.7067 0.0000 0.0000
-1.3534 2.3441 0.0000
0.0000 0.0000 8.6286
Ru Ir
2 2
Cartesian
0.0000 1.5627 3.2794
1.3534 0.7814 5.3493
0.0000 1.5627 7.5005
1.3534 0.7814 1.1282
```

## Properties
SG = P-3m1
ΔE_f = -0.06 eV/f.u.